(1)
A relaxed structure of DyCd4In, computed with PBE.

Output
* uncorrected energy: -12.207 eV per formula unit
* size of the total moment: 0.00 μB per cell
* distance to the lowest polymorph of the same formula: 0 kJ/mol of formula units
* calculated formation energy: -0.201 eV/atom

Geometry as CIF:
```
data_DyCd4In
_cell_length_a 6.458
_cell_length_b 17.912
_cell_length_c 4.985
_cell_angle_alpha 90.00
_cell_angle_beta 90.00
_cell_angle_gamma 90.00
_symmetry_space_group_name_H-M 'C m c m'
_symmetry_Int_Tables_number 63
_symmetry_space_group_name_Hall '-C 2c 2'
loop_
_atom_site_label
_atom_site_type_symbol
_atom_site_fract_x
_atom_site_fract_y
_atom_site_fract_z
Dy1 Dy 0.000 0.121 0.250
Cd1 Cd 0.244 0.043 0.750
Cd2 Cd 0.249 0.209 0.750
In1 In 0.000 0.381 0.750
```

---

(2)
A relaxed structure of Dy3CdIn2, computed with PBE.

Output
* uncorrected energy: -22.779 eV per formula unit
* size of the total moment: 0.00 μB per cell
* distance to the lowest polymorph of the same formula: 0 kJ/mol of formula units
* calculated formation energy: -0.430 eV/atom

Geometry as CIF:
```
data_Dy3CdIn2
_cell_length_a 5.3146
_cell_length_b 5.3146
_cell_length_c 12.9708
_cell_angle_alpha 90.00
_cell_angle_beta 90.00
_cell_angle_gamma 120.00
_symmetry_space_group_name_H-M 'P -3 m 1'
_symmetry_Int_Tables_number 164
_symmetry_space_group_name_Hall '-P 3 2"'
loop_
_atom_site_label
_atom_site_type_symbol
_atom_site_fract_x
_atom_site_fract_y
_atom_site_fract_z
Dy1 Dy 0.0000 0.0000 0.2496
Dy2 Dy 0.3333 0.6667 0.4170
Dy3 Dy 0.3333 0.6667 0.9177
Cd1 Cd 0.3333 0.6667 0.1681
In1 In 0.0000 0.0000 0.0000
In2 In 0.0000 0.0000 0.5000
In3 In 0.3333 0.6667 0.6710
```

---

(3)
A relaxed structure of Dy3CdIn, computed with PBE.

Output
* uncorrected energy: -19.011 eV per formula unit
* size of the total moment: 1.34 μB per cell
* distance to the lowest polymorph of the same formula: 0 kJ/mol of formula units
* calculated formation energy: -0.310 eV/atom

Geometry as CIF:
```
data_Dy3CdIn
_cell_length_a 5.123
_cell_length_b 21.126
_cell_length_c 5.122
_cell_angle_alpha 90.00
_cell_angle_beta 90.00
_cell_angle_gamma 90.00
_symmetry_space_group_name_H-M 'C m c m'
_symmetry_Int_Tables_number 63
_symmetry_space_group_name_Hall '-C 2c 2'
loop_
_atom_site_label
_atom_site_type_symbol
_atom_site_fract_x
_atom_site_fract_y
_atom_site_fract_z
Dy1 Dy 0.000 0.059 0.250
Dy2 Dy 0.000 0.250 0.250
Dy3 Dy 0.000 0.441 0.250
Cd1 Cd 0.000 0.154 0.750
In1 In 0.000 0.344 0.750
```

---

(4)
A relaxed structure of Dy2Cd3In3, computed with PBE.

Output
* uncorrected energy: -23.024 eV per formula unit
* size of the total moment: 0.00 μB per cell
* calculated formation energy: -0.357 eV/atom

Geometry as CIF:
```
data_Dy2Cd3In3
_cell_length_a 4.577
_cell_length_b 4.659
_cell_length_c 9.074
_cell_angle_alpha 90.00
_cell_angle_beta 90.00
_cell_angle_gamma 90.00
_symmetry_space_group_name_H-M 'P m m m'
_symmetry_Int_Tables_number 47
_symmetry_space_group_name_Hall '-P 2 2'
loop_
_atom_site_label
_atom_site_type_symbol
_atom_site_fract_x
_atom_site_fract_y
_atom_site_fract_z
Dy1 Dy 0.000 0.000 0.249
Cd1 Cd 0.000 0.500 0.500
Cd2 Cd 0.500 0.500 0.254
In1 In 0.000 0.500 0.000
In2 In 0.500 0.000 0.000
In3 In 0.500 0.000 0.500
```

---

(5)
A relaxed structure of Dy3CdIn2, computed with PBE.

Output
* uncorrected energy: -22.735 eV per formula unit
* size of the total moment: 0.00 μB per cell
* distance to the lowest polymorph of the same formula: 4 kJ/mol of formula units
* calculated formation energy: -0.423 eV/atom

Geometry as CIF:
```
data_Dy3CdIn2
_cell_length_a 3.729
_cell_length_b 3.729
_cell_length_c 11.404
_cell_angle_alpha 90.00
_cell_angle_beta 90.00
_cell_angle_gamma 90.00
_symmetry_space_group_name_H-M 'P 4/m m m'
_symmetry_Int_Tables_number 123
_symmetry_space_group_name_Hall '-P 4 2'
loop_
_atom_site_label
_atom_site_type_symbol
_atom_site_fract_x
_atom_site_fract_y
_atom_site_fract_z
Dy1 Dy 0.000 0.000 0.000
Dy2 Dy 0.000 0.000 0.338
Cd1 Cd 0.500 0.500 0.500
In1 In 0.500 0.500 0.171
```

---

(6)
A relaxed structure of Dy5CdIn2, computed with PBE.

Output
* uncorrected energy: -31.197 eV per formula unit
* size of the total moment: 0.00 μB per cell
* calculated formation energy: -0.224 eV/atom

Geometry as CIF:
```
data_Dy5CdIn2
_cell_length_a 4.647
_cell_length_b 11.066
_cell_length_c 17.417
_cell_angle_alpha 90.00
_cell_angle_beta 90.00
_cell_angle_gamma 90.00
_symmetry_space_group_name_H-M 'C m c m'
_symmetry_Int_Tables_number 63
_symmetry_space_group_name_Hall '-C 2c 2'
loop_
_atom_site_label
_atom_site_type_symbol
_atom_site_fract_x
_atom_site_fract_y
_atom_site_fract_z
Dy1 Dy 0.000 0.044 0.099
Dy2 Dy 0.000 0.345 0.039
Dy3 Dy 0.000 0.455 0.250
Cd1 Cd 0.000 0.170 0.250
In1 In 0.000 0.243 0.653
```

---

(7)
A relaxed structure of Dy2Cd16In, computed with PBE.

Output
* uncorrected energy: -28.444 eV per formula unit
* size of the total moment: 0.00 μB per cell
* calculated formation energy: -0.098 eV/atom

Geometry as CIF:
```
data_Dy2Cd16In
_cell_length_a 10.1296
_cell_length_b 10.1296
_cell_length_c 14.8833
_cell_angle_alpha 90.00
_cell_angle_beta 90.00
_cell_angle_gamma 120.00
_symmetry_space_group_name_H-M 'R 3 m'
_symmetry_Int_Tables_number 160
_symmetry_space_group_name_Hall 'R 3 -2"'
loop_
_atom_site_label
_atom_site_type_symbol
_atom_site_fract_x
_atom_site_fract_y
_atom_site_fract_z
Dy1 Dy 0.0000 0.0000 0.0000
Dy2 Dy 0.0000 0.0000 0.3466
Cd1 Cd 0.0000 0.0000 0.5866
Cd2 Cd 0.0032 0.3136 0.6761
Cd3 Cd 0.0247 0.5124 0.5277
Cd4 Cd 0.0410 0.5205 0.1689
Cd5 Cd 0.0699 0.5350 0.8334
In1 In 0.0000 0.0000 0.7783
```

---

(8)
A relaxed structure of Dy12CdIn6, computed with PBE.

Output
* uncorrected energy: -72.109 eV per formula unit
* size of the total moment: 0.00 μB per cell
* calculated formation energy: 0.024 eV/atom

Geometry as CIF:
```
data_Dy12CdIn6
_cell_length_a 13.7776
_cell_length_b 13.7776
_cell_length_c 11.9447
_cell_angle_alpha 90.00
_cell_angle_beta 90.00
_cell_angle_gamma 120.00
_symmetry_space_group_name_H-M 'R -3'
_symmetry_Int_Tables_number 148
_symmetry_space_group_name_Hall '-R 3'
loop_
_atom_site_label
_atom_site_type_symbol
_atom_site_fract_x
_atom_site_fract_y
_atom_site_fract_z
Dy1 Dy 0.0354 0.8262 0.3845
Dy2 Dy 0.0525 0.8342 0.8950
Cd1 Cd 0.0000 0.0000 0.0000
In1 In 0.0472 0.7842 0.6451
```

---

(9)
A relaxed structure of Dy3Cd7In2, computed with PBE.

Output
* uncorrected energy: -27.878 eV per formula unit
* size of the total moment: 0.00 μB per cell
* calculated formation energy: -0.182 eV/atom

Geometry as CIF:
```
data_Dy3Cd7In2
_cell_length_a 4.782
_cell_length_b 4.125
_cell_length_c 15.512
_cell_angle_alpha 90.00
_cell_angle_beta 98.86
_cell_angle_gamma 90.00
_symmetry_space_group_name_H-M 'P 1 2/m 1'
_symmetry_Int_Tables_number 10
_symmetry_space_group_name_Hall '-P 2y'
loop_
_atom_site_label
_atom_site_type_symbol
_atom_site_fract_x
_atom_site_fract_y
_atom_site_fract_z
Dy1 Dy 0.000 0.000 0.000
Dy2 Dy 0.318 0.500 0.635
Cd1 Cd 0.075 0.500 0.150
Cd2 Cd 0.230 0.000 0.459
Cd3 Cd 0.420 0.000 0.842
Cd4 Cd 0.500 0.500 0.000
In1 In 0.141 0.000 0.280
```

---

(10)
A relaxed structure of Dy2CdIn2, computed with PBE.

Output
* uncorrected energy: -17.541 eV per formula unit
* size of the total moment: 0.00 μB per cell
* calculated formation energy: -0.389 eV/atom

Geometry as CIF:
```
data_Dy2CdIn2
_cell_length_a 11.304
_cell_length_b 4.801
_cell_length_c 10.764
_cell_angle_alpha 90.00
_cell_angle_beta 115.08
_cell_angle_gamma 90.00
_symmetry_space_group_name_H-M 'C 1 2/m 1'
_symmetry_Int_Tables_number 12
_symmetry_space_group_name_Hall '-C 2y'
loop_
_atom_site_label
_atom_site_type_symbol
_atom_site_fract_x
_atom_site_fract_y
_atom_site_fract_z
Dy1 Dy 0.023 0.000 0.335
Dy2 Dy 0.172 0.000 0.088
Cd1 Cd 0.223 0.500 0.333
In1 In 0.036 0.500 0.881
In2 In 0.139 0.500 0.576
```

---

(11)
A relaxed structure of Dy5CdIn3, computed with PBE.

Output
* uncorrected energy: -35.774 eV per formula unit
* size of the total moment: 0.00 μB per cell
* calculated formation energy: -0.404 eV/atom

Geometry as CIF:
```
data_Dy5CdIn3
_cell_length_a 9.2847
_cell_length_b 9.2847
_cell_length_c 6.6541
_cell_angle_alpha 90.00
_cell_angle_beta 90.00
_cell_angle_gamma 120.00
_symmetry_space_group_name_H-M 'P 63/m c m'
_symmetry_Int_Tables_number 193
_symmetry_space_group_name_Hall '-P 6c 2'
loop_
_atom_site_label
_atom_site_type_symbol
_atom_site_fract_x
_atom_site_fract_y
_atom_site_fract_z
Dy1 Dy 0.0000 0.2917 0.2500
Dy2 Dy 0.3333 0.6667 0.0000
Cd1 Cd 0.0000 0.0000 0.0000
In1 In 0.0000 0.3702 0.7500
```

---

(12)
A relaxed structure of Dy3Cd3In2, computed with PBE.

Output
* uncorrected energy: -24.629 eV per formula unit
* size of the total moment: 0.00 μB per cell
* calculated formation energy: -0.325 eV/atom

Geometry as CIF:
```
data_Dy3Cd3In2
_cell_length_a 4.731
_cell_length_b 11.342
_cell_length_c 15.514
_cell_angle_alpha 90.00
_cell_angle_beta 90.00
_cell_angle_gamma 90.00
_symmetry_space_group_name_H-M 'C m c m'
_symmetry_Int_Tables_number 63
_symmetry_space_group_name_Hall '-C 2c 2'
loop_
_atom_site_label
_atom_site_type_symbol
_atom_site_fract_x
_atom_site_fract_y
_atom_site_fract_z
Dy1 Dy 0.000 0.082 0.112
Dy2 Dy 0.000 0.349 0.250
Cd1 Cd 0.000 0.376 0.750
Cd2 Cd 0.000 0.385 0.035
In1 In 0.000 0.207 0.610
```

---

(13)
A relaxed structure of DyCdIn, computed with PBE.

Output
* uncorrected energy: -8.821 eV per formula unit
* size of the total moment: 0.00 μB per cell
* calculated formation energy: -0.188 eV/atom

Geometry as CIF:
```
data_DyCdIn
_cell_length_a 4.320
_cell_length_b 4.320
_cell_length_c 17.398
_cell_angle_alpha 90.00
_cell_angle_beta 90.00
_cell_angle_gamma 90.00
_symmetry_space_group_name_H-M 'I -4 m 2'
_symmetry_Int_Tables_number 119
_symmetry_space_group_name_Hall 'I -4 -2'
loop_
_atom_site_label
_atom_site_type_symbol
_atom_site_fract_x
_atom_site_fract_y
_atom_site_fract_z
Dy1 Dy 0.000 0.000 0.000
Dy2 Dy 0.000 0.500 0.250
Cd1 Cd 0.000 0.500 0.673
In1 In 0.000 0.000 0.421
```

---

(14)
A relaxed structure of Dy7CdIn4, computed with PBE.

Output
* uncorrected energy: -45.613 eV per formula unit
* size of the total moment: 0.71 μB per cell
* calculated formation energy: -0.127 eV/atom

Geometry as CIF:
```
data_Dy7CdIn4
_cell_length_a 14.399
_cell_length_b 5.656
_cell_length_c 11.125
_cell_angle_alpha 90.00
_cell_angle_beta 127.31
_cell_angle_gamma 90.00
_symmetry_space_group_name_H-M 'C 1 2/m 1'
_symmetry_Int_Tables_number 12
_symmetry_space_group_name_Hall '-C 2y'
loop_
_atom_site_label
_atom_site_type_symbol
_atom_site_fract_x
_atom_site_fract_y
_atom_site_fract_z
Dy1 Dy 0.000 0.000 0.000
Dy2 Dy 0.069 0.500 0.330
Dy3 Dy 0.162 0.000 0.597
Dy4 Dy 0.217 0.500 0.870
Cd1 Cd 0.000 0.500 0.000
In1 In 0.064 0.000 0.775
In2 In 0.201 0.000 0.339
```

---

(15)
A relaxed structure of Dy6CdIn6, computed with PBE.

Output
* uncorrected energy: -48.724 eV per formula unit
* size of the total moment: 0.00 μB per cell
* calculated formation energy: -0.290 eV/atom

Geometry as CIF:
```
data_Dy6CdIn6
_cell_length_a 6.3291
_cell_length_b 6.3291
_cell_length_c 10.5586
_cell_angle_alpha 90.00
_cell_angle_beta 90.00
_cell_angle_gamma 120.00
_symmetry_space_group_name_H-M 'P 6/m m m'
_symmetry_Int_Tables_number 191
_symmetry_space_group_name_Hall '-P 6 2'
loop_
_atom_site_label
_atom_site_type_symbol
_atom_site_fract_x
_atom_site_fract_y
_atom_site_fract_z
Dy1 Dy 0.0000 0.0000 0.1832
Dy2 Dy 0.3333 0.6667 0.0000
Dy3 Dy 0.3333 0.6667 0.5000
Cd1 Cd 0.0000 0.0000 0.5000
In1 In 0.0000 0.5000 0.2501
```

---

(16)
A relaxed structure of Dy2Cd2In, computed with PBE.

Output
* uncorrected energy: -15.320 eV per formula unit
* size of the total moment: 0.00 μB per cell
* calculated formation energy: -0.309 eV/atom

Geometry as CIF:
```
data_Dy2Cd2In
_cell_length_a 7.588
_cell_length_b 7.588
_cell_length_c 4.542
_cell_angle_alpha 90.00
_cell_angle_beta 90.00
_cell_angle_gamma 90.00
_symmetry_space_group_name_H-M 'P 4/m b m'
_symmetry_Int_Tables_number 127
_symmetry_space_group_name_Hall '-P 4 2ab'
loop_
_atom_site_label
_atom_site_type_symbol
_atom_site_fract_x
_atom_site_fract_y
_atom_site_fract_z
Dy1 Dy 0.169 0.331 0.000
Cd1 Cd 0.132 0.632 0.500
In1 In 0.000 0.000 0.500
```

---

(17)
A relaxed structure of Dy12Cd2In5, computed with PBE.

Output
* uncorrected energy: -74.358 eV per formula unit
* size of the total moment: 0.00 μB per cell
* calculated formation energy: -0.190 eV/atom

Geometry as CIF:
```
data_Dy12Cd2In5
_cell_length_a 13.319
_cell_length_b 9.711
_cell_length_c 8.430
_cell_angle_alpha 90.00
_cell_angle_beta 95.21
_cell_angle_gamma 90.00
_symmetry_space_group_name_H-M 'C 1 2/m 1'
_symmetry_Int_Tables_number 12
_symmetry_space_group_name_Hall '-C 2y'
loop_
_atom_site_label
_atom_site_type_symbol
_atom_site_fract_x
_atom_site_fract_y
_atom_site_fract_z
Dy1 Dy 0.080 0.000 0.189
Dy2 Dy 0.099 0.500 0.637
Dy3 Dy 0.115 0.208 0.870
Dy4 Dy 0.148 0.318 0.288
Cd1 Cd 0.000 0.190 0.500
In1 In 0.000 0.500 0.000
In2 In 0.178 0.000 0.546
In3 In 0.223 0.500 0.979
```

---

(18)
A relaxed structure of DyCdIn6, computed with PBE.

Output
* uncorrected energy: -23.032 eV per formula unit
* size of the total moment: 0.00 μB per cell
* calculated formation energy: -0.136 eV/atom

Geometry as CIF:
```
data_DyCdIn6
_cell_length_a 9.143
_cell_length_b 9.706
_cell_length_c 4.637
_cell_angle_alpha 90.00
_cell_angle_beta 90.00
_cell_angle_gamma 90.00
_symmetry_space_group_name_H-M 'C m m m'
_symmetry_Int_Tables_number 65
_symmetry_space_group_name_Hall '-C 2 2'
loop_
_atom_site_label
_atom_site_type_symbol
_atom_site_fract_x
_atom_site_fract_y
_atom_site_fract_z
Dy1 Dy 0.000 0.000 0.000
Cd1 Cd 0.000 0.500 0.000
In1 In 0.000 0.244 0.500
In2 In 0.240 0.500 0.500
In3 In 0.250 0.250 0.000
```

---

(19)
A relaxed structure of Dy8Cd2In, computed with PBE.

Output
* uncorrected energy: -43.567 eV per formula unit
* size of the total moment: 0.00 μB per cell
* distance to the lowest polymorph of the same formula: 0 kJ/mol of formula units
* calculated formation energy: -0.198 eV/atom

Geometry as CIF:
```
data_Dy8Cd2In
_cell_length_a 16.295
_cell_length_b 5.303
_cell_length_c 8.510
_cell_angle_alpha 90.00
_cell_angle_beta 120.69
_cell_angle_gamma 90.00
_symmetry_space_group_name_H-M 'C 1 2/m 1'
_symmetry_Int_Tables_number 12
_symmetry_space_group_name_Hall '-C 2y'
loop_
_atom_site_label
_atom_site_type_symbol
_atom_site_fract_x
_atom_site_fract_y
_atom_site_fract_z
Dy1 Dy 0.067 0.000 0.221
Dy2 Dy 0.093 0.500 0.954
Dy3 Dy 0.139 0.000 0.686
Dy4 Dy 0.182 0.500 0.450
Cd1 Cd 0.225 0.000 0.115
In1 In 0.000 0.500 0.500
```

---

(20)
A relaxed structure of Dy5Cd3In, computed with PBE.

Output
* uncorrected energy: -30.873 eV per formula unit
* size of the total moment: 0.00 μB per cell
* calculated formation energy: -0.264 eV/atom

Geometry as CIF:
```
data_Dy5Cd3In
_cell_length_a 9.2480
_cell_length_b 9.2480
_cell_length_c 6.6299
_cell_angle_alpha 90.00
_cell_angle_beta 90.00
_cell_angle_gamma 120.00
_symmetry_space_group_name_H-M 'P 63/m c m'
_symmetry_Int_Tables_number 193
_symmetry_space_group_name_Hall '-P 6c 2'
loop_
_atom_site_label
_atom_site_type_symbol
_atom_site_fract_x
_atom_site_fract_y
_atom_site_fract_z
Dy1 Dy 0.0000 0.3004 0.2500
Dy2 Dy 0.3333 0.6667 0.0000
Cd1 Cd 0.0000 0.3657 0.7500
In1 In 0.0000 0.0000 0.0000
```